# SrCaNb (PBE, relaxed)
# * distance to the lowest polymorph of the same formula: 21 meV/atom
# * raw total energy: -24.8 eV for the cell shown
# * space-group type: No. 6
# * density: 3.6 Mg/m³
# * formation energy from the elements: 0.452 eV per atom
data_SrCaNb
_chemical_formula_sum 'Sr2 Ca2 Nb2'
_cell_length_a 6.1674
_cell_length_b 3.5283
_cell_length_c 9.6182
_cell_angle_alpha 90.00
_cell_angle_beta 104.74
_cell_angle_gamma 90.00
_symmetry_space_group_name_H-M 'P 1'
_symmetry_Int_Tables_number 1
loop_
_symmetry_equiv_pos_as_xyz
'x,y,z'
loop_
_atom_site_label
_atom_site_fract_x
_atom_site_fract_y
_atom_site_fract_z
_atom_site_occupancy
Sr1 0.1687 0.5000 0.2690 1
Sr2 0.3367 0.0000 0.6873 1
Nb1 0.8689 0.5000 0.7640 1
Nb2 0.0282 0.0000 0.9554 1
Ca1 0.5798 0.5000 0.0404 1
Ca2 0.7456 0.0000 0.4567 1

# Sr3CaNb (PBE, relaxed)
# * distance to the lowest polymorph of the same formula: 0 meV/atom
# * raw total energy: -13.4 eV for the cell shown
# * space-group type: No. 221
# * density: 3.0 Mg/m³
# * formation energy from the elements: 0.736 eV per atom
data_Sr3CaNb
_chemical_formula_sum 'Sr3 Ca1 Nb1'
_cell_length_a 6.0514
_cell_length_b 6.0514
_cell_length_c 6.0514
_cell_angle_alpha 90.00
_cell_angle_beta 90.00
_cell_angle_gamma 90.00
_symmetry_space_group_name_H-M 'P 1'
_symmetry_Int_Tables_number 1
loop_
_symmetry_equiv_pos_as_xyz
'x,y,z'
loop_
_atom_site_label
_atom_site_fract_x
_atom_site_fract_y
_atom_site_fract_z
_atom_site_occupancy
Sr1 0.0000 0.5000 0.0000 1
Sr2 0.0000 0.0000 0.5000 1
Sr3 0.5000 0.0000 0.0000 1
Nb1 0.0000 0.0000 0.0000 1
Ca1 0.5000 0.5000 0.5000 1

# SrCaNb2 (PBE, relaxed)
# * distance to the lowest polymorph of the same formula: 0 meV/atom
# * raw total energy: -18.7 eV for the cell shown
# * space-group type: No. 225
# * density: 4.8 Mg/m³
# * formation energy from the elements: 1.283 eV per atom
data_SrCaNb2
_chemical_formula_sum 'Sr1 Ca1 Nb2'
_cell_length_a 5.3698
_cell_length_b 5.3698
_cell_length_c 5.3698
_cell_angle_alpha 60.00
_cell_angle_beta 60.00
_cell_angle_gamma 60.00
_symmetry_space_group_name_H-M 'P 1'
_symmetry_Int_Tables_number 1
loop_
_symmetry_equiv_pos_as_xyz
'x,y,z'
loop_
_atom_site_label
_atom_site_fract_x
_atom_site_fract_y
_atom_site_fract_z
_atom_site_occupancy
Sr1 0.5000 0.5000 0.5000 1
Nb1 0.2500 0.2500 0.2500 1
Nb2 0.7500 0.7500 0.7500 1
Ca1 0.0000 0.0000 0.0000 1

> Among the records above, which one has the highest formation energy from the elements?

SrCaNb2